1) # Ac3AuN2 | the Alexandria database | PBE | optimized geometry
# * crystal system: orthorhombic
data_Ac3AuN2
_chemical_formula_sum 'Ac6 Au2 N4'
_space_group_name_H-M_alt 'P 1'
_space_group_IT_number 1
_space_group_name_Hall 'P 1'
_cell_length_a 3.760
_cell_length_b 11.801
_cell_length_c 6.749
_cell_angle_alpha 90.00
_cell_angle_beta 90.00
_cell_angle_gamma 90.00
loop_
_atom_site_label
_atom_site_type_symbol
_atom_site_fract_x
_atom_site_fract_y
_atom_site_fract_z
Ac1 Ac 0.000 0.084 0.000
Ac2 Ac 0.000 0.916 0.500
Ac3 Ac 0.500 0.193 0.509
Ac4 Ac 0.500 0.391 0.889
Ac5 Ac 0.500 0.609 0.389
Ac6 Ac 0.500 0.807 0.009
Au1 Au 0.000 0.379 0.276
Au2 Au 0.000 0.621 0.776
N1 N 0.000 0.251 0.768
N2 N 0.000 0.749 0.268
N3 N 0.500 0.017 0.293
N4 N 0.500 0.983 0.793



2) # Ac3AuN2 | the Alexandria database | PBE | optimized geometry
# * crystal system: monoclinic
data_Ac3AuN2
_chemical_formula_sum 'Ac6 Au2 N4'
_space_group_name_H-M_alt 'P 1'
_space_group_IT_number 1
_space_group_name_Hall 'P 1'
_cell_length_a 12.169
_cell_length_b 12.169
_cell_length_c 7.146
_cell_angle_alpha 102.93
_cell_angle_beta 102.93
_cell_angle_gamma 19.97
loop_
_atom_site_label
_atom_site_type_symbol
_atom_site_fract_x
_atom_site_fract_y
_atom_site_fract_z
Ac1 Ac 0.047 0.047 0.247
Ac2 Ac 0.228 0.228 0.195
Ac3 Ac 0.398 0.398 0.175
Ac4 Ac 0.602 0.602 0.825
Ac5 Ac 0.772 0.772 0.805
Ac6 Ac 0.953 0.953 0.753
Au1 Au 0.350 0.350 0.567
Au2 Au 0.650 0.650 0.433
N1 N 0.057 0.057 0.919
N2 N 0.300 0.300 0.995
N3 N 0.700 0.700 0.005
N4 N 0.943 0.943 0.081



It turns out 2) is the most stable, with the second structure 69 meV/atom higher.



1) # AcAuN | the Alexandria database | PBE | optimized geometry
# * crystal system: tetragonal
data_AcAuN
_chemical_formula_sum 'Ac2 Au2 N2'
_space_group_name_H-M_alt 'P 1'
_space_group_IT_number 1
_space_group_name_Hall 'P 1'
_cell_length_a 3.822
_cell_length_b 3.822
_cell_length_c 8.331
_cell_angle_alpha 90.00
_cell_angle_beta 90.00
_cell_angle_gamma 90.00
loop_
_atom_site_label
_atom_site_type_symbol
_atom_site_fract_x
_atom_site_fract_y
_atom_site_fract_z
Ac1 Ac 0.250 0.250 0.169
Ac2 Ac 0.750 0.750 0.831
Au1 Au 0.250 0.250 0.578
Au2 Au 0.750 0.750 0.422
N1 N 0.250 0.250 0.867
N2 N 0.750 0.750 0.133



2) # AcAuN | the Alexandria database | PBE | optimized geometry
# * crystal system: tetragonal
data_AcAuN
_chemical_formula_sum 'Ac2 Au2 N2'
_space_group_name_H-M_alt 'P 1'
_space_group_IT_number 1
_space_group_name_Hall 'P 1'
_cell_length_a 9.551
_cell_length_b 9.551
_cell_length_c 9.551
_cell_angle_alpha 156.50
_cell_angle_beta 156.50
_cell_angle_gamma 33.48
loop_
_atom_site_label
_atom_site_type_symbol
_atom_site_fract_x
_atom_site_fract_y
_atom_site_fract_z
Ac1 Ac 0.174 0.174 0.000
Ac2 Ac 0.826 0.826 0.000
Au1 Au 0.430 0.430 0.000
Au2 Au 0.570 0.570 0.000
N1 N 0.308 0.308 0.000
N2 N 0.692 0.692 0.000



It turns out 2) is the most stable, with the second structure 19 meV/atom higher.